No. 1
Compound: CoBr
Source: the Open Quantum Materials Database
Functional: PBE-GGA
Structure: relaxed

Results
- energy (eV per cell) = -7.233
- excess energy over the best structure of this formula in the dataset (eV per atom) = 0.4733

a = 3.435 Å, b = 3.435 Å, c = 3.482 Å
α = 90.00°, β = 90.00°, γ = 120.00°
Each line ends with the local moment (μB).
Fractional coordinates of all 2 atoms:
Co1 0.333 0.667 0.250  0.05
Br1 0.667 0.333 0.750  0.00

No. 2
Compound: Er3TeSe2
Source: the Open Quantum Materials Database
Functional: PBE-GGA
Structure: relaxed

Results
- energy (eV per cell) = -32.964

a = 4.136 Å, b = 4.136 Å, c = 10.056 Å
α = 90.00°, β = 90.00°, γ = 120.00°
Fractional coordinates of all 6 atoms:
Te1 0.000 0.000 0.500
Er1 0.333 0.667 0.693
Er2 0.667 0.333 0.307
Se1 0.333 0.667 0.157
Er3 0.000 0.000 0.000
Se2 0.667 0.333 0.843